The following is a DFT calculation (PBE with a Hubbard U) of crystalline CuBiMoO2 at its relaxed geometry.

Cell: 4.1700 6.1710 4.1700 Å, 90.00 90.00 90.00°
Closest atoms and distances in Å follow each position.
Fractional positions:
O (0.5000, 0.0000, 0.0000)  2 Bi 2.09
O (0.0000, 0.0000, 0.5000)  2 Bi 2.09
Cu (0.5000, 0.5000, 0.5000)  4 Mo 2.95
Bi (0.0000, 0.0000, 0.0000)  4 O 2.09
Mo (0.0000, 0.5000, 0.0000)  4 Cu 2.95, 2 Bi 3.09

Values from the calculation:
* space-group type: P4/mmm (123)
* total moment: 0.019 μB per cell
* VASP energy: -3.908 eV/atom